(1)
# Y2TeAs

A crystal of Y2TeAs relaxed with PBEsol (meta-GGA SCAN, Alexandria).

Summary:
Formation energy from raw total energies   -1.70 eV/atom
Offset from the most stable computed form   0 meV per atom

Unit cell a=4.141 b=4.141 c=7.376 alpha=73.70 beta=73.70 gamma=60.00
Sites, in units of the cell vectors:
Y: 0.760 0.760 0.719
Y: 0.240 0.240 0.281
As: 0.500 0.500 0.500
Te: 0.000 0.000 0.000



(2)
# SrTa2Cd

A crystal of SrTa2Cd relaxed with PBEsol (meta-GGA SCAN, Alexandria).

Summary:
Energy relative to the elements   0.817 eV/atom

Unit cell a=2.844 b=5.580 c=6.172 alpha=115.13 beta=100.18 gamma=96.82
Sites, in units of the cell vectors:
Cd: 0.000 0.500 0.000
Sr: 0.500 0.000 0.000
Ta: 0.000 0.000 0.500
Ta: 0.500 0.500 0.500



(3)
# LaZn3Br

A crystal of LaZn3Br relaxed with PBEsol (meta-GGA SCAN, Alexandria).

Summary:
Formation energy from raw total energies   0.49 eV/atom

Unit cell a=5.040 b=5.040 c=5.040 alpha=90.00 beta=90.00 gamma=90.00
Sites, in units of the cell vectors:
Zn: 0.000 0.500 0.000
Zn: 0.000 0.000 0.500
Zn: 0.500 0.000 0.000
Br: 0.000 0.000 0.000
La: 0.500 0.500 0.500



(4)
# CdSi2Os

A crystal of CdSi2Os relaxed with PBEsol (meta-GGA SCAN, Alexandria).

Summary:
Formation energy from raw total energies   0.34 eV/atom

Unit cell a=3.212 b=4.234 c=4.799 alpha=90.00 beta=90.00 gamma=90.00
Sites, in units of the cell vectors:
Cd: 0.500 0.500 0.500
Os: 0.000 0.500 0.000
Si: 0.000 0.000 0.751
Si: 0.000 0.000 0.249